1.
This record from Alexandria via LeMat-Bulk describes a relaxed MgCrIr4 crystal. The functional is GGA-PBE.

Computed properties:
Symmetry: No. 216
VASP energy (eV per cell): -46.0
Total moment (Bohr magnetons per cell): 3.0
D(E_F) (states/eV/cell): 9.05
Formation energy from the elements (eV/atom): 0.11

Geometry as extended XYZ:
```
6
Lattice="0.000 3.666 3.666 3.666 0.000 3.666 3.666 3.666 0.000" Properties=species:S:1:pos:R:3 pbc="T T T"
Mg 0.000 0.000 0.000
Cr 5.499 5.499 5.499
Ir 2.750 2.750 2.750
Ir 4.582 4.582 2.750
Ir 4.582 2.750 4.582
Ir 2.750 4.582 4.582
```



2.
This record from Alexandria via LeMat-Bulk describes a relaxed Ti12NbSn6 crystal. The functional is GGA-PBE.

Computed properties:
Symmetry: No. 148
VASP energy (eV per cell): -131.8
Total moment (Bohr magnetons per cell): 0.0
D(E_F) (states/eV/cell): 17.41
Formation energy from the elements (eV/atom): -0.15

Geometry as extended XYZ:
```
19
Lattice="5.112 2.951 3.975 -5.112 2.951 3.975 0.000 -5.902 3.975" Properties=species:S:1:pos:R:3 pbc="T T T"
Ti -1.334 -4.655 5.056
Ti -4.698 -1.173 6.869
Ti -1.147 -1.177 3.691
Ti -3.365 3.482 5.056
Ti -0.446 1.581 3.691
Ti 1.592 -0.405 3.691
Ti -1.593 0.405 8.235
Ti 0.446 -1.581 8.235
Ti 3.365 -3.482 6.869
Ti 1.147 1.177 8.235
Ti 4.698 1.173 5.056
Ti 1.334 4.655 6.869
Nb 0.000 0.000 5.963
Sn -2.819 0.652 5.400
Sn -1.974 -2.116 6.526
Sn 0.845 -2.767 5.400
Sn -0.845 2.767 6.526
Sn 1.974 2.116 5.400
Sn 2.819 -0.652 6.526
```



3.
This record from Alexandria via LeMat-Bulk describes a relaxed Rb2CeI8 crystal. The functional is GGA-PBE.

Computed properties:
Symmetry: No. 12
VASP energy (eV per cell): -31.1
Total moment (Bohr magnetons per cell): 0.0
D(E_F) (states/eV/cell): 15.07
E_form (uncorrected) (eV/f.u.): -10.85

Geometry as extended XYZ:
```
11
Lattice="8.007 -6.169 0.000 8.007 6.169 0.000 -1.551 0.000 6.225" Properties=species:S:1:pos:R:3 pbc="T T T"
Rb 3.363 0.000 0.466
Rb 11.099 0.000 5.760
Ce 8.007 0.000 0.000
I -0.278 0.000 1.607
I 6.329 2.205 1.211
I 4.334 0.000 4.016
I 8.133 2.205 5.014
I 6.329 -2.205 1.211
I 10.127 0.000 2.209
I 8.133 -2.205 5.014
I 14.739 0.000 4.618
```



4.
This record from Alexandria via LeMat-Bulk describes a relaxed ZrIn2 crystal. The functional is GGA-PBE.

Computed properties:
Symmetry: No. 139
VASP energy (eV per cell): -26.9
Total moment (Bohr magnetons per cell): 0.0
D(E_F) (states/eV/cell): 3.17
Formation energy from the elements (eV/atom): 0.19

Geometry as extended XYZ:
```
6
Lattice="4.893 0.000 0.000 0.000 4.893 0.000 0.000 0.000 6.861" Properties=species:S:1:pos:R:3 pbc="T T T"
Zr 0.000 0.000 0.000
Zr 2.446 2.446 3.430
In 0.000 2.446 1.715
In 0.000 2.446 5.146
In 2.446 0.000 1.715
In 2.446 0.000 5.146
```